(1)
Compound: Sm2TmCd6
Source: Alexandria via LeMat-Bulk
Functional: PBE
Structure: optimized geometry

Calculated values
Space-group type = P6/mmm

Cell lengths 3.4248, 8.6888, 8.6888 Å; angles 120.00, 90.00, 90.00 degrees
Element x y z (fractional)
Cd (0.5000, 0.0000, 0.3305)
Cd (0.5000, 0.3305, 0.0000)
Cd (0.5000, 0.6695, 0.6695)
Cd (0.5000, 0.6695, 0.0000)
Cd (0.5000, 0.3305, 0.3305)
Cd (0.5000, 0.0000, 0.6695)
Tm (0.0000, 0.0000, 0.0000)
Sm (0.0000, 0.6667, 0.3333)
Sm (0.0000, 0.3333, 0.6667)

=====

(2)
Compound: CePuAs
Source: Alexandria via LeMat-Bulk
Functional: PBE
Structure: optimized geometry

Calculated values
Space-group type = Immm

Cell lengths 3.7170, 6.6834, 6.6834 Å; angles 102.49, 73.85, 73.85 degrees
Element x y z (fractional)
Ce (0.5000, 0.6573, 0.3427)
Ce (0.5000, 0.3427, 0.6573)
Pu (0.0000, 0.8621, 0.1379)
Pu (0.0000, 0.1379, 0.8621)
As (0.2521, 0.2479, 0.2479)
As (0.7479, 0.7521, 0.7521)

=====

(3)
Compound: ZrZnTc
Source: Alexandria via LeMat-Bulk
Functional: PBE
Structure: optimized geometry

Calculated values
Space-group type = F-43m

Cell lengths 4.4387, 4.4387, 4.4387 Å; angles 60.00, 60.00, 60.00 degrees
Element x y z (fractional)
Tc (0.0000, 0.0000, 0.0000)
Zn (0.5000, 0.5000, 0.5000)
Zr (0.7500, 0.7500, 0.7500)

=====

(4)
Compound: Ce2PuRu
Source: Alexandria via LeMat-Bulk
Functional: PBE
Structure: optimized geometry

Calculated values
Space-group type = Fm-3m

Cell lengths 5.0178, 5.0178, 5.0178 Å; angles 60.00, 60.00, 60.00 degrees
Element x y z (fractional)
Ce (0.7500, 0.7500, 0.7500)
Ce (0.2500, 0.2500, 0.2500)
Pu (0.5000, 0.5000, 0.5000)
Ru (0.0000, 0.0000, 0.0000)

=====

(5)
Compound: Pm5Ni4Sn
Source: Alexandria via LeMat-Bulk
Functional: PBE
Structure: optimized geometry

Calculated values
Space-group type = P4/mmm

Cell lengths 3.4691, 3.4691, 18.5494 Å; angles 90.00, 90.00, 90.00 degrees
Element x y z (fractional)
Sn (0.0000, 0.0000, 0.0000)
Ni (0.0000, 0.0000, 0.4067)
Ni (0.0000, 0.0000, 0.5933)
Ni (0.0000, 0.0000, 0.7787)
Ni (0.0000, 0.0000, 0.2213)
Pm (0.5000, 0.5000, 0.3120)
Pm (0.5000, 0.5000, 0.6880)
Pm (0.5000, 0.5000, 0.1249)
Pm (0.5000, 0.5000, 0.8751)
Pm (0.5000, 0.5000, 0.5000)

=====

(6)
Compound: BaCa4Zn2
Source: Alexandria via LeMat-Bulk
Functional: PBE
Structure: optimized geometry

Calculated values
Space-group type = Cmmm

Cell lengths 5.2616, 5.2462, 9.4982 Å; angles 106.03, 90.00, 90.00 degrees
Element x y z (fractional)
Ba (0.0000, 0.0000, 0.0000)
Ca (0.5000, 0.1696, 0.3392)
Ca (0.0000, 0.3298, 0.6596)
Ca (0.0000, 0.6702, 0.3404)
Ca (0.5000, 0.8304, 0.6608)
Zn (0.5000, 0.5690, 0.1379)
Zn (0.5000, 0.4310, 0.8621)

=====

Number 1: formation enthalpy at 0 K -0.319 eV/atom. Number 2: formation enthalpy at 0 K -0.545 eV/atom. Number 3: formation enthalpy at 0 K 0.750 eV/atom. Number 4: formation enthalpy at 0 K -0.041 eV/atom. Number 5: formation enthalpy at 0 K -0.334 eV/atom. Number 6: formation enthalpy at 0 K -0.071 eV/atom.